Entry from Alexandria via LeMat-Bulk: an optimized crystal structure of Rb2LaNiI6 (PBE).

Calculated values
**SG**: I4/mmm, No. 139

Lattice parameters (Å, degrees): 8.4673 8.4673 8.4509 59.94 59.94 90.00
Fractional coordinates of all 10 atoms:
I 0.7368 0.7368 0.0000
La 0.0000 0.0000 0.0000
I 0.2641 0.2641 0.4718
I 0.7359 0.7359 0.5282
Rb 0.2500 0.7500 0.5000
Ni 0.5000 0.5000 0.0000
I 0.2632 0.2632 0.0000
I 0.7368 0.2632 0.0000
Rb 0.7500 0.2500 0.5000
I 0.2632 0.7368 0.0000

=====

Entry from Alexandria via LeMat-Bulk: an optimized crystal structure of La8NiRu3I4 (PBE).

Calculated values
**SG**: C2/m, No. 12

Lattice parameters (Å, degrees): 8.4013 9.6954 8.4019 115.68 120.00 90.00
Fractional coordinates of all 16 atoms:
La 0.7695 0.3176 0.0465
La 0.2709 0.3135 0.5418
La 0.7291 0.6865 0.4582
I 0.0000 0.0000 0.0000
La 0.2305 0.6824 0.9535
I 0.5000 0.0000 0.0000
La 0.2771 0.3176 0.0465
Ru 0.5000 0.5000 0.5000
Ru 0.0000 0.5000 0.5000
La 0.7229 0.6824 0.9535
La 0.7677 0.3167 0.5353
Ru 0.5000 0.5000 0.0000
I 0.5000 0.0000 0.5000
I 0.0000 0.0000 0.5000
Ni 0.0000 0.5000 0.0000
La 0.2323 0.6833 0.4647

=====

Entry from Alexandria via LeMat-Bulk: an optimized crystal structure of La6NiRu2I3 (PBE).

Calculated values
**SG**: C2/m, No. 12

Lattice parameters (Å, degrees): 7.2775 7.2775 8.6445 98.06 98.06 120.00
Fractional coordinates of all 12 atoms:
Ni 0.0000 0.0000 0.0000
I 0.5000 0.5000 0.5000
Ru 0.6666 0.3334 0.0000
I 0.8328 0.1672 0.5000
La 0.7228 0.7228 0.1845
La 0.4002 0.0616 0.1848
La 0.9384 0.5998 0.8152
I 0.1672 0.8328 0.5000
La 0.2772 0.2772 0.8155
Ru 0.3334 0.6666 0.0000
La 0.5998 0.9384 0.8152
La 0.0616 0.4002 0.1848

=====

Entry from Alexandria via LeMat-Bulk: an optimized crystal structure of La8Ni3RuI4 (PBE).

Calculated values
**SG**: C2/m, No. 12

Lattice parameters (Å, degrees): 8.4439 9.5736 8.3927 115.94 120.20 90.00
Fractional coordinates of all 16 atoms:
La 0.7756 0.3153 0.0442
I 0.5000 0.0000 0.0000
La 0.7314 0.6847 0.9558
Ni 0.0000 0.5000 0.5000
Ru 0.0000 0.5000 0.0000
I 0.0000 0.0000 0.5000
I 0.0000 0.0000 0.0000
La 0.7252 0.6809 0.4504
La 0.2686 0.3153 0.0442
La 0.7737 0.3142 0.5473
Ni 0.5000 0.5000 0.5000
I 0.5000 0.0000 0.5000
La 0.2748 0.3191 0.5496
La 0.2244 0.6847 0.9558
Ni 0.5000 0.5000 0.0000
La 0.2263 0.6858 0.4527

=====

Entry from Alexandria via LeMat-Bulk: an optimized crystal structure of La6Ni2SI3 (PBE).

Calculated values
**SG**: C2/m, No. 12

Lattice parameters (Å, degrees): 7.3701 7.3701 8.3187 98.46 98.46 120.04
Fractional coordinates of all 12 atoms:
La 0.5892 0.9352 0.8102
La 0.9352 0.5892 0.8102
S 0.0000 0.0000 0.0000
Ni 0.3328 0.6672 0.0000
I 0.8372 0.1628 0.5000
Ni 0.6672 0.3328 0.0000
La 0.2836 0.2836 0.8107
La 0.4108 0.0648 0.1898
La 0.0648 0.4108 0.1898
La 0.7164 0.7164 0.1893
I 0.1628 0.8372 0.5000
I 0.5000 0.5000 0.5000

=====

Entry from Alexandria via LeMat-Bulk: an optimized crystal structure of La8NiS3I4 (PBE).

Calculated values
**SG**: R-3m, No. 166

Lattice parameters (Å, degrees): 8.4690 9.2300 8.4700 117.32 120.00 90.00
Fractional coordinates of all 16 atoms:
La 0.7339 0.6940 0.9640
S 0.5000 0.5000 0.0000
La 0.7699 0.3059 0.5398
La 0.7312 0.6935 0.4624
Ni 0.0000 0.5000 0.0000
I 0.0000 0.0000 0.0000
I 0.0000 0.0000 0.5000
La 0.2688 0.3065 0.5376
I 0.5000 0.0000 0.0000
S 0.5000 0.5000 0.5000
S 0.0000 0.5000 0.5000
I 0.5000 0.0000 0.5000
La 0.2301 0.6941 0.4602
La 0.2661 0.3060 0.0360
La 0.2301 0.6940 0.9640
La 0.7699 0.3060 0.0360

=====

Entry from Alexandria via LeMat-Bulk: an optimized crystal structure of LaNiSb2I (PBE).

Calculated values
**SG**: P4/mmm, No. 123

Lattice parameters (Å, degrees): 5.0372 5.0372 5.4107 90.00 90.00 90.00
Fractional coordinates of all 5 atoms:
La 0.5000 0.5000 0.5000
Sb 0.5000 0.0000 0.0000
Sb 0.0000 0.5000 0.0000
Ni 0.0000 0.0000 0.0000
I 0.0000 0.0000 0.5000

=====

no.,uncorrected energy (eV/atom)
1,-3.274
2,-5.822
3,-5.681
4,-5.289
5,-5.178
6,-5.368
7,-4.422